# PuPa3C4 (PBE, relaxed)
data_PuPa3C4
_chemical_formula_sum 'Pu1 Pa3 C4'
_cell_length_a 5.069
_cell_length_b 5.069
_cell_length_c 5.069
_cell_angle_alpha 90.00
_cell_angle_beta 90.00
_cell_angle_gamma 90.00
_symmetry_space_group_name_H-M 'P m -3 m'
_symmetry_Int_Tables_number 221
_symmetry_space_group_name_Hall '-P 4 2 3'
loop_
_atom_site_label
_atom_site_type_symbol
_atom_site_fract_x
_atom_site_fract_y
_atom_site_fract_z
Pu1 Pu 0.000 0.000 0.000
Pa1 Pa 0.000 0.500 0.500
C1 C 0.000 0.000 0.500
C2 C 0.500 0.500 0.500
# **DOS at the Fermi energy**: 9.0 states/eV/f.u.
# **Density**: 12558 kg/m3
# **Formation energy from the elements**: -0.3152 eV/atom
# **Total energy**: -10.2796 eV/atom